(1)
# NaTiB

A relaxed NaTiB crystal (PBE, the Alexandria database).

## Properties
The value obtained for the energy above the most stable polymorph in this dataset is 600.2 meV/atom. The calculation puts the density of states at the Fermi level at 0.0 states/eV/f.u.

a = 7.163 Å, b = 4.038 Å, c = 6.157 Å
α = 90.00°, β = 90.00°, γ = 90.00°
Positions (direct):
Na (0.030, 0.250, 0.857)
Na (0.470, 0.750, 0.357)
Na (0.970, 0.750, 0.143)
Na (0.530, 0.250, 0.643)
B (0.841, 0.250, 0.402)
B (0.659, 0.750, 0.902)
B (0.159, 0.750, 0.598)
B (0.341, 0.250, 0.098)
Ti (0.148, 0.250, 0.410)
Ti (0.352, 0.750, 0.910)
Ti (0.852, 0.750, 0.590)
Ti (0.648, 0.250, 0.090)

(2)
# NaTiB

A relaxed NaTiB crystal (PBE, the Alexandria database).

## Properties
The value obtained for the energy above the most stable polymorph in this dataset is 338.8 meV/atom. The calculation puts the density of states at the Fermi level at 3.2 states/eV/f.u.

a = 11.984 Å, b = 4.254 Å, c = 4.254 Å
α = 134.40°, β = 126.51°, γ = 53.49°
Positions (direct):
Na (0.157, 0.709, 0.291)
Na (0.843, 0.291, 0.709)
B (0.438, 0.986, 0.014)
B (0.562, 0.014, 0.986)
Ti (0.592, 0.270, 0.730)
Ti (0.408, 0.730, 0.270)

(3)
# NaTiB

A relaxed NaTiB crystal (PBE, the Alexandria database).

## Properties
The value obtained for the energy above the most stable polymorph in this dataset is 1032.6 meV/atom. The calculation puts the density of states at the Fermi level at 0.2 states/eV/f.u.

a = 4.032 Å, b = 4.032 Å, c = 4.032 Å
α = 60.00°, β = 60.00°, γ = 60.00°
Positions (direct):
Na (0.250, 0.250, 0.250)
B (0.000, 0.000, 0.000)
Ti (0.750, 0.750, 0.750)

(4)
# NaTiB

A relaxed NaTiB crystal (PBE, the Alexandria database).

## Properties
The value obtained for the energy above the most stable polymorph in this dataset is 300.4 meV/atom. The calculation puts the density of states at the Fermi level at 1.5 states/eV/f.u.

a = 10.882 Å, b = 3.208 Å, c = 3.157 Å
α = 90.00°, β = 98.30°, γ = 89.97°
Positions (direct):
Na (0.009, 0.003, 0.593)
Na (0.717, 0.501, 0.950)
B (0.477, 0.502, 0.817)
B (0.237, 0.003, 0.197)
Ti (0.267, 0.503, 0.712)
Ti (0.452, 0.002, 0.304)

(5)
# NaTiB

A relaxed NaTiB crystal (PBE, the Alexandria database).

## Properties
The value obtained for the energy above the most stable polymorph in this dataset is 1674.5 meV/atom. The calculation puts the density of states at the Fermi level at 3.8 states/eV/f.u.

a = 4.414 Å, b = 4.414 Å, c = 8.397 Å
α = 90.00°, β = 90.00°, γ = 120.00°
Positions (direct):
Na (0.333, 0.667, 0.250)
Na (0.667, 0.333, 0.750)
B (0.000, 0.000, 0.250)
B (0.000, 0.000, 0.750)
Ti (0.000, 0.000, 0.000)
Ti (0.000, 0.000, 0.500)

(6)
# NaTiB

A relaxed NaTiB crystal (PBE, the Alexandria database).

## Properties
The value obtained for the energy above the most stable polymorph in this dataset is 383.9 meV/atom. The calculation puts the density of states at the Fermi level at 1.4 states/eV/f.u.

a = 3.610 Å, b = 3.610 Å, c = 10.544 Å
α = 90.00°, β = 90.00°, γ = 120.00°
Positions (direct):
Na (0.000, 0.000, 0.166)
Na (0.667, 0.333, 0.848)
B (0.667, 0.333, 0.341)
B (0.667, 0.333, 0.504)
Ti (0.000, 0.000, 0.586)
Ti (0.333, 0.667, 0.406)

(7)
# NaTiB3

A relaxed NaTiB3 crystal (PBE, the Alexandria database).

## Properties
The value obtained for the energy above the most stable polymorph in this dataset is 0.0 meV/atom. The calculation puts the density of states at the Fermi level at 3.4 states/eV/f.u.

a = 4.278 Å, b = 4.278 Å, c = 4.278 Å
α = 90.00°, β = 90.00°, γ = 90.00°
Positions (direct):
Na (0.500, 0.500, 0.500)
B (0.000, 0.500, 0.000)
B (0.000, 0.000, 0.500)
B (0.500, 0.000, 0.000)
Ti (0.000, 0.000, 0.000)

(8)
# NaTiB

A relaxed NaTiB crystal (PBE, the Alexandria database).

## Properties
The value obtained for the energy above the most stable polymorph in this dataset is 501.0 meV/atom. The calculation puts the density of states at the Fermi level at 2.2 states/eV/f.u.

a = 5.116 Å, b = 3.157 Å, c = 6.812 Å
α = 90.00°, β = 90.00°, γ = 90.00°
Site moments in Bohr magnetons follow the coordinates.
Positions (direct):
Na (0.000, 0.500, 0.127)  0.00
Na (0.500, 0.000, 0.853)  0.01
B (0.177, 0.000, 0.431)  -0.01
B (0.823, 0.000, 0.431)  -0.01
Ti (0.000, 0.500, 0.610)  0.14
Ti (0.500, 0.500, 0.398)  0.38

(9)
# NaTiB

A relaxed NaTiB crystal (PBE, the Alexandria database).

## Properties
The value obtained for the energy above the most stable polymorph in this dataset is 555.8 meV/atom. The calculation puts the density of states at the Fermi level at 1.6 states/eV/f.u.

a = 3.016 Å, b = 5.990 Å, c = 6.012 Å
α = 90.00°, β = 98.59°, γ = 90.00°
Positions (direct):
Na (0.164, 0.000, 0.899)
Na (0.670, 0.000, 0.398)
B (0.168, 0.637, 0.389)
B (0.168, 0.363, 0.389)
Ti (0.594, 0.500, 0.146)
Ti (0.743, 0.500, 0.633)

(10)
# NaTiB

A relaxed NaTiB crystal (PBE, the Alexandria database).

## Properties
The value obtained for the energy above the most stable polymorph in this dataset is 388.2 meV/atom. The calculation puts the density of states at the Fermi level at 1.3 states/eV/f.u.

a = 3.601 Å, b = 3.601 Å, c = 10.673 Å
α = 90.00°, β = 90.00°, γ = 120.00°
Positions (direct):
Na (0.667, 0.333, 0.899)
Na (0.333, 0.667, 0.217)
B (0.000, 0.000, 0.552)
B (0.000, 0.000, 0.391)
Ti (0.667, 0.333, 0.455)
Ti (0.333, 0.667, 0.635)

(11)
# NaTiB

A relaxed NaTiB crystal (PBE, the Alexandria database).

## Properties
The value obtained for the energy above the most stable polymorph in this dataset is 480.5 meV/atom. The calculation puts the density of states at the Fermi level at 1.1 states/eV/f.u.

a = 4.162 Å, b = 4.162 Å, c = 6.702 Å
α = 71.91°, β = 71.91°, γ = 90.00°
Positions (direct):
Na (0.205, 0.205, 0.590)
Na (0.795, 0.795, 0.410)
B (0.427, 0.427, 0.145)
B (0.573, 0.573, 0.855)
Ti (0.000, 0.500, 0.000)
Ti (0.500, 0.000, 0.000)

(12)
# NaTiB

A relaxed NaTiB crystal (PBE, the Alexandria database).

## Properties
The value obtained for the energy above the most stable polymorph in this dataset is 908.9 meV/atom. The calculation puts the density of states at the Fermi level at 2.6 states/eV/f.u.

a = 3.501 Å, b = 3.501 Å, c = 10.900 Å
α = 90.00°, β = 90.00°, γ = 120.00°
Site moments in Bohr magnetons follow the coordinates.
Positions (direct):
Na (0.667, 0.333, 0.000)  0.00
Na (0.667, 0.333, 0.500)  0.00
B (0.333, 0.667, 0.189)  0.13
B (0.333, 0.667, 0.811)  0.13
Ti (0.000, 0.000, 0.250)  0.30
Ti (0.000, 0.000, 0.750)  0.30